The following is a GGA-PBE calculation of an optimized crystal structure of ErTh3Sc2, from Alexandria via LeMat-Bulk.

Lattice parameters (Å, degrees): 3.5158 3.5158 14.2538 90.00 90.00 90.00
Closest atoms and distances in Å follow each position.
Fractional positions:
Th 0.0000 0.0000 0.3242  4 Sc 3.40, 4 Th 3.52, 4 Er 3.53
Er 0.5000 0.5000 0.5000  4 Er 3.52, 8 Th 3.53
Sc 0.5000 0.5000 0.1618  8 Th 3.39-3.40, 4 Sc 3.52
Th 0.0000 0.0000 0.6758  4 Sc 3.40, 4 Th 3.52, 4 Er 3.53
Th 0.0000 0.0000 0.0000  8 Sc 3.39, 4 Th 3.52
Sc 0.5000 0.5000 0.8382  8 Th 3.39-3.40, 4 Sc 3.52

Symmetry: No. 123
Total magnetic moment in μB/cell: 0.00
DFT formation energy in eV/atom: 0.032